Na3PtW | PBE-GGA | optimized geometry

Cell: 5.641 5.641 5.641 Å, 90.00 90.00 90.00°
Fractional coordinates of all 5 atoms:
Na: 0.000 0.000 0.500
Na: 0.000 0.500 0.000
Na: 0.500 0.000 0.000
Pt: 0.500 0.500 0.500
W: 0.000 0.000 0.000

Energy above the most stable polymorph in this dataset   523 meV per atom
D(E_F)   0.116 states/eV/f.u.
Formation energy from the elements   9.404 eV per formula unit